i | # BaPtRh2

Crystalline BaPtRh2 at its relaxed geometry (PBE, Alexandria).

Cell: 5.9713 9.8863 2.9951 Å, 90.00 117.45 90.00°
Positions (direct):
Ba 0.0000 0.0000 0.0000
Ba 0.5000 0.5000 0.0000
Pt 0.0000 0.5000 0.0000
Pt 0.5000 0.0000 0.0000
Rh 0.2500 0.2500 0.5000
Rh 0.2500 0.7500 0.5000
Rh 0.7500 0.2500 0.5000
Rh 0.7500 0.7500 0.5000

SG = C2/m, No. 12
M_tot = 0.0 μB/f.u.

=====

ii | # BaPtRh2

Crystalline BaPtRh2 at its relaxed geometry (PBE, Alexandria).

Cell: 4.7710 4.7710 17.9691 Å, 90.00 90.00 90.00°
Positions (direct):
Ba 0.0000 0.0000 0.0000
Ba 0.0000 0.5000 0.2500
Ba 0.5000 0.0000 0.7500
Ba 0.5000 0.5000 0.5000
Pt 0.0000 0.0000 0.5000
Pt 0.0000 0.5000 0.7500
Pt 0.5000 0.0000 0.2500
Pt 0.5000 0.5000 0.0000
Rh 0.0817 0.2500 0.6250
Rh 0.2500 0.5817 0.8750
Rh 0.2500 0.9183 0.3750
Rh 0.4183 0.2500 0.1250
Rh 0.5817 0.7500 0.1250
Rh 0.7500 0.0817 0.3750
Rh 0.7500 0.4183 0.8750
Rh 0.9183 0.7500 0.6250

SG = I-42d, No. 122
M_tot = 0.0 μB/f.u.

=====

iii | # BaPtRh2

Crystalline BaPtRh2 at its relaxed geometry (PBE, Alexandria).

Cell: 4.3414 4.3414 4.1682 Å, 90.00 90.00 90.00°
Positions (direct):
Ba 0.0000 0.0000 0.0000
Pt 0.5000 0.5000 0.0000
Rh 0.0000 0.5000 0.5000
Rh 0.5000 0.0000 0.5000

SG = P4/mmm, No. 123
M_tot = 0.0 μB/f.u.

=====

iv | # BaPtRh2

Crystalline BaPtRh2 at its relaxed geometry (PBE, Alexandria).

Cell: 2.9912 3.7214 7.3177 Å, 90.00 90.00 90.00°
Positions (direct):
Ba 0.0000 0.0000 0.0000
Pt 0.5000 0.5000 0.3077
Rh 0.0000 0.0000 0.5144
Rh 0.5000 0.5000 0.6732

SG = Pmm2, No. 25
M_tot = 0.5 μB/f.u.

=====

Computed energies relative to the best structure, in kJ/mol of atoms: i 30.8; ii 0.0; iii 21.4; iv 6.7